Material: TmZrTc
Method: DFT, GGA-PBE
State: relaxed

Structure (POSCAR):
```
TmZrTc
1.0
3.3840 0.0000 0.0000
0.0000 3.3840 0.0000
-1.6920 -1.6920 5.7553
Tm Tc Zr
1 1 1
Direct
0.0236 0.0236 0.0471 Tm
0.6780 0.6780 0.3560 Tc
0.2984 0.2984 0.5968 Zr
```

Output
* space group: No. 107
* total moment: 0.00 μB per cell
* formation energy from the elements: -174 meV per atom
* mass density: 9.024 Mg/m³

***

Material: TmZrTc4
Method: DFT, GGA-PBE
State: relaxed

Structure (POSCAR):
```
TmZrTc4
1.0
-4.5408 -0.0603 2.7721
0.1071 -0.7601 5.2648
-1.1607 4.0155 3.2917
Tm Tc Zr
1 4 1
Direct
0.0000 0.0000 0.0000 Tm
0.6248 0.6248 0.1257 Tc
0.6248 0.1257 0.6248 Tc
0.6248 0.6248 0.6248 Tc
0.1257 0.6248 0.6248 Tc
0.2500 0.2500 0.2500 Zr
```

Output
* space group: No. 216
* total moment: 0.00 μB per cell
* formation energy from the elements: -239 meV per atom
* mass density: 10.169 Mg/m³

***

Material: TmZrTc
Method: DFT, GGA-PBE
State: relaxed

Structure (POSCAR):
```
TmZrTc
1.0
-3.4087 0.9036 -3.0105
3.0719 -3.3455 -0.9162
-0.9702 -2.0025 4.0641
Tm Zr Tc
1 1 1
Direct
0.9444 0.9722 0.9166 Tm
0.9444 0.4722 0.4167 Zr
0.4444 0.2222 0.6666 Tc
```

Output
* space group: No. 216
* total moment: 0.00 μB per cell
* formation energy from the elements: 48 meV per atom
* mass density: 8.446 Mg/m³

***

Material: U5Tc3
Method: DFT, GGA-PBE
State: relaxed

Structure (POSCAR):
```
U5Tc3
1.0
5.0707 -0.1205 1.9458
1.5370 7.5530 0.5898
-0.1679 -0.0602 8.0173
U Tc
10 6
Direct
0.7651 0.5788 0.5000 U
0.2358 0.4203 0.5000 U
0.2316 0.7067 0.8312 U
0.7693 0.2925 0.1688 U
0.3389 0.1512 0.2925 U
0.6620 0.8480 0.7075 U
0.4380 0.2925 0.8312 U
0.5628 0.7067 0.1688 U
0.8695 0.8480 0.2925 U
0.1314 0.1512 0.7075 U
0.2325 0.9996 0.0358 Tc
0.7683 0.9996 0.9642 Tc
0.7595 0.1598 0.5000 Tc
0.2414 0.8394 0.5000 Tc
0.8066 0.4996 0.8875 Tc
0.1942 0.4996 0.1125 Tc
```

Output
* space group: No. 12
* total moment: 0.00 μB per cell
* formation energy from the elements: 31 meV per atom
* mass density: 15.848 Mg/m³

***

Material: U2Tc
Method: DFT, GGA-PBE
State: relaxed

Structure (POSCAR):
```
U2Tc
1.0
-1.1357 -4.2809 -2.4122
4.3515 -0.4163 -1.3099
-1.2024 -2.3257 4.6935
U Tc
4 2
Direct
0.7500 0.9294 0.3588 U
0.2500 0.4294 0.3588 U
0.7500 0.5706 0.6412 U
0.2500 0.0706 0.6412 U
0.7500 0.2502 0.0000 Tc
0.2500 0.7498 0.0000 Tc
```

Output
* space group: No. 69
* total moment: 0.00 μB per cell
* formation energy from the elements: -110 meV per atom
* mass density: 17.024 Mg/m³

***

Material: UTc2
Method: DFT, GGA-PBE
State: relaxed

Structure (POSCAR):
```
UTc2
1.0
2.9519 0.0000 0.0000
0.0000 2.9519 0.0000
-1.4760 -1.4760 5.9292
U Tc
1 2
Direct
0.0000 0.0000 0.0000 U
0.6851 0.6851 0.3703 Tc
0.3149 0.3149 0.6297 Tc
```

Output
* space group: No. 139
* total moment: 0.00 μB per cell
* formation energy from the elements: 33 meV per atom
* mass density: 13.950 Mg/m³